No. 1
Density functional theory data (GGA-PBE) for crystalline CeCo2P2Ir at its relaxed geometry.

The formation enthalpy at 0 K is 1.64 kcal/mol of atoms. The calculation puts the theoretical density at 7.89 g/cm³.

a = 4.576 Å, b = 4.576 Å, c = 5.146 Å
α = 90.00°, β = 90.00°, γ = 90.00°
Fractional positions:
Ce  0.000  0.000  0.000
Co  0.500  0.500  0.258
Co  0.500  0.500  0.742
P  0.000  0.500  0.500
P  0.500  0.000  0.500
Ir  0.000  0.000  0.500



No. 2
Density functional theory data (GGA-PBE) for crystalline Ce2CoP4Ir3 at its relaxed geometry.

The formation enthalpy at 0 K is -23.47 kcal/mol of atoms. The calculation puts the theoretical density at 10.59 g/cm³.

a = 4.169 Å, b = 4.169 Å, c = 9.379 Å
α = 90.00°, β = 90.00°, γ = 90.00°
Fractional positions:
Ce  0.000  0.500  0.249
Ce  0.500  0.000  0.751
Co  0.000  0.000  0.500
P  0.000  0.000  0.000
P  0.000  0.500  0.631
P  0.500  0.000  0.369
P  0.500  0.500  0.000
Ir  0.000  0.500  0.885
Ir  0.500  0.000  0.115
Ir  0.500  0.500  0.500



No. 3
Density functional theory data (GGA-PBE) for crystalline Ce6CoIrPb2 at its relaxed geometry.

The formation enthalpy at 0 K is -7.50 kcal/mol of atoms. The calculation puts the theoretical density at 8.40 g/cm³.

a = 7.511 Å, b = 7.511 Å, c = 7.511 Å
α = 120.40°, β = 120.40°, γ = 89.31°
Fractional positions:
Ce  0.242  0.242  0.484
Ce  0.242  0.758  0.000
Ce  0.246  0.246  0.000
Ce  0.754  0.754  0.000
Ce  0.758  0.242  0.000
Ce  0.758  0.758  0.516
Co  0.000  0.000  0.000
Ir  0.500  0.500  0.000
Pb  0.250  0.750  0.500
Pb  0.750  0.250  0.500



No. 4
Density functional theory data (GGA-PBE) for crystalline CePrCoIr at its relaxed geometry.

The formation enthalpy at 0 K is -6.45 kcal/mol of atoms. The calculation puts the theoretical density at 10.39 g/cm³.

a = 4.937 Å, b = 4.937 Å, c = 4.937 Å
α = 60.00°, β = 60.00°, γ = 60.00°
Fractional positions:
Ce  0.000  0.000  0.000
Pr  0.500  0.500  0.500
Co  0.250  0.250  0.250
Ir  0.750  0.750  0.750



No. 5
Density functional theory data (GGA-PBE) for crystalline CeCoSi3Ir at its relaxed geometry.

For the uncorrected formation energy, the calculation gives -11.66 kcal/mol of atoms. The calculation puts the theoretical density at 7.21 g/cm³.

a = 6.932 Å, b = 6.932 Å, c = 5.695 Å
α = 90.00°, β = 90.00°, γ = 126.81°
Fractional positions:
Ce  0.203  0.797  0.750
Ce  0.797  0.203  0.250
Co  0.035  0.965  0.250
Co  0.965  0.035  0.750
Si  0.206  0.794  0.250
Si  0.284  0.284  0.000
Si  0.284  0.284  0.500
Si  0.716  0.716  0.000
Si  0.716  0.716  0.500
Si  0.794  0.206  0.750
Ir  0.387  0.613  0.250
Ir  0.613  0.387  0.750



No. 6
Density functional theory data (GGA-PBE) for crystalline Ce2CoSi3Ir4 at its relaxed geometry.

For the uncorrected formation energy, the calculation gives -20.57 kcal/mol of atoms. The calculation puts the theoretical density at 11.59 g/cm³.

a = 4.119 Å, b = 4.119 Å, c = 10.071 Å
α = 90.00°, β = 90.00°, γ = 90.00°
Fractional positions:
Ce  0.000  0.500  0.244
Ce  0.500  0.000  0.756
Co  0.500  0.500  0.000
Si  0.000  0.000  0.000
Si  0.000  0.500  0.629
Si  0.500  0.000  0.371
Ir  0.000  0.000  0.500
Ir  0.000  0.500  0.867
Ir  0.500  0.000  0.133
Ir  0.500  0.500  0.500



No. 7
Density functional theory data (GGA-PBE) for crystalline CeCo2Si2Ir at its relaxed geometry.

For the uncorrected formation energy, the calculation gives 1.07 kcal/mol of atoms. The calculation puts the theoretical density at 7.66 g/cm³.

a = 4.586 Å, b = 4.586 Å, c = 5.221 Å
α = 90.00°, β = 90.00°, γ = 90.00°
Fractional positions:
Ce  0.000  0.000  0.000
Co  0.500  0.500  0.265
Co  0.500  0.500  0.735
Si  0.000  0.500  0.500
Si  0.500  0.000  0.500
Ir  0.000  0.000  0.500



No. 8
Density functional theory data (GGA-PBE) for crystalline CeSmCoIr at its relaxed geometry.

The formation enthalpy at 0 K is -8.16 kcal/mol of atoms. The calculation puts the theoretical density at 10.90 g/cm³.

a = 4.886 Å, b = 4.886 Å, c = 4.886 Å
α = 60.00°, β = 60.00°, γ = 60.00°
Fractional positions:
Ce  0.000  0.000  0.000
Sm  0.500  0.500  0.500
Co  0.250  0.250  0.250
Ir  0.750  0.750  0.750



No. 9
Density functional theory data (GGA-PBE) for crystalline TbCeCoIr at its relaxed geometry.

The formation enthalpy at 0 K is -9.61 kcal/mol of atoms. The calculation puts the theoretical density at 11.35 g/cm³.

a = 4.846 Å, b = 4.846 Å, c = 4.846 Å
α = 60.00°, β = 60.00°, γ = 60.00°
Fractional positions:
Tb  0.000  0.000  0.000
Ce  0.500  0.500  0.500
Co  0.750  0.750  0.750
Ir  0.250  0.250  0.250



No. 10
Density functional theory data (GGA-PBE) for crystalline CeTmCoIr at its relaxed geometry.

The formation enthalpy at 0 K is -10.86 kcal/mol of atoms. The calculation puts the theoretical density at 11.85 g/cm³.

a = 4.806 Å, b = 4.806 Å, c = 4.806 Å
α = 60.00°, β = 60.00°, γ = 60.00°
Fractional positions:
Ce  0.000  0.000  0.000
Tm  0.500  0.500  0.500
Co  0.250  0.250  0.250
Ir  0.750  0.750  0.750



No. 11
Density functional theory data (GGA-PBE) for crystalline Ce2ZnCoIr at its relaxed geometry.

The formation enthalpy at 0 K is -9.75 kcal/mol of atoms. The calculation puts the theoretical density at 9.46 g/cm³.

a = 7.014 Å, b = 4.748 Å, c = 7.022 Å
α = 90.00°, β = 116.37°, γ = 90.00°
Fractional positions:
Ce  0.112  0.250  0.350
Ce  0.350  0.750  0.112
Ce  0.650  0.250  0.888
Ce  0.888  0.750  0.650
Zn  0.352  0.750  0.648
Zn  0.648  0.250  0.352
Co  0.022  0.250  0.976
Co  0.978  0.750  0.024
Ir  0.235  0.250  0.765
Ir  0.765  0.750  0.235



No. 12
Density functional theory data (GGA-PBE) for crystalline CeZrCoIr at its relaxed geometry.

The formation enthalpy at 0 K is -8.35 kcal/mol of atoms. The calculation puts the theoretical density at 10.69 g/cm³.

a = 4.733 Å, b = 4.733 Å, c = 4.733 Å
α = 60.00°, β = 60.00°, γ = 60.00°
Fractional positions:
Ce  0.000  0.000  0.000
Zr  0.500  0.500  0.500
Co  0.250  0.250  0.250
Ir  0.750  0.750  0.750



theoretical density of number 10 (CeTmCoIr)?
11.85 g/cm³